# AlVAu3, optimized geometry, DFT PBE
data_AlVAu3
_cell_length_a 4.9943
_cell_length_b 4.9943
_cell_length_c 4.9943
_cell_angle_alpha 90.00
_cell_angle_beta 90.00
_cell_angle_gamma 90.00
_space_group_name_H-M_alt 'P m -3 m'
_space_group_IT_number 221
_space_group_name_Hall '-P 4 2 3'
loop_
_atom_site_label
_atom_site_type_symbol
_atom_site_fract_x
_atom_site_fract_y
_atom_site_fract_z
Al1 Al 0.0000 0.0000 0.0000
V1 V 0.5000 0.5000 0.5000
Au1 Au 0.0000 0.5000 0.5000
# Calculated volume, A^3/atom: 24.9
# Energy relative to the elements, meV/atom: 811
# Total moment, μB/f.u.: 2.6
# Energy, eV per cell: -18.6